Entry 1:
Computed, not measured: an optimized crystal structure of Sm6ErTm3Th2 at the PBE level of DFT.

## Properties
**Total energy**: -5.056 eV per atom
**V**: 32.3 Å³ per atom
**Space-group type**: C2/m
**Density of states at the Fermi level**: 17.16 states/eV per cell

Lattice parameters (Å, degrees): 6.1898 6.1898 11.8743 94.99 94.99 119.95
Closest atoms and distances in Å follow each position.
Atoms (fractional coordinates):
Sm  0.0813  0.4166  0.7507  6 Sm 3.56-3.60, 2 Th 3.57, 3 Tm 3.58-3.59, 1 Er 3.58
Sm  0.2474  0.2474  0.2496  6 Sm 3.56-3.60, 2 Th 3.57, 3 Tm 3.57-3.59, 1 Er 3.58
Sm  0.4166  0.0813  0.7507  6 Sm 3.56-3.60, 2 Th 3.57, 3 Tm 3.58-3.59, 1 Er 3.58
Sm  0.5834  0.9187  0.2493  6 Sm 3.56-3.60, 2 Th 3.57, 3 Tm 3.58-3.59, 1 Er 3.58
Sm  0.7526  0.7526  0.7504  6 Sm 3.56-3.60, 2 Th 3.57, 3 Tm 3.57-3.59, 1 Er 3.58
Sm  0.9187  0.5834  0.2493  6 Sm 3.56-3.60, 2 Th 3.57, 3 Tm 3.58-3.59, 1 Er 3.58
Er  0.5000  0.5000  0.0000  6 Th 3.57, 6 Sm 3.58
Tm  0.0000  0.0000  0.5000  6 Tm 3.57-3.58, 6 Sm 3.57-3.59
Tm  0.3333  0.6667  0.5000  6 Tm 3.57-3.58, 6 Sm 3.58-3.59
Tm  0.6667  0.3333  0.5000  6 Tm 3.57-3.58, 6 Sm 3.58-3.59
Th  0.1665  0.8335  0.0000  6 Sm 3.57, 3 Th 3.57-3.58, 3 Er 3.57
Th  0.8335  0.1665  0.0000  6 Sm 3.57, 3 Th 3.57-3.58, 3 Er 3.57


Entry 2:
Computed, not measured: an optimized crystal structure of SrPm6Pb4 at the PBE level of DFT.

## Properties
**Total energy**: -4.486 eV per atom
**V**: 34.4 Å³ per atom
**Space-group type**: P-6m2
**Density of states at the Fermi level**: 7.62 states/eV per cell

Lattice parameters (Å, degrees): 9.9271 9.9271 4.4314 90.00 90.00 120.00
Closest atoms and distances in Å follow each position.
Atoms (fractional coordinates):
Sr  0.0000  0.0000  0.0000  6 Pb 3.67, 6 Pm 4.05
Pm  0.1970  0.3940  0.5000  4 Pb 3.18-3.23
Pm  0.1970  0.8030  0.5000  4 Pb 3.18-3.23
Pm  0.5398  0.0797  0.0000  5 Pb 3.38-3.55, 2 Pm 3.78
Pm  0.5398  0.4602  0.0000  5 Pb 3.38-3.55, 2 Pm 3.78
Pm  0.6060  0.8030  0.5000  4 Pb 3.18-3.23
Pm  0.9203  0.4602  0.0000  5 Pb 3.38-3.55, 2 Pm 3.78
Pb  0.3333  0.6667  0.0000  9 Pm 3.23-3.55
Pb  0.3408  0.1704  0.5000  6 Pm 3.18-3.38
Pb  0.8296  0.1704  0.5000  6 Pm 3.18-3.38
Pb  0.8296  0.6592  0.5000  6 Pm 3.18-3.38


Entry 3:
Computed, not measured: an optimized crystal structure of Nd2InBPt6 at the PBE level of DFT.

## Properties
**Total energy**: -6.328 eV per atom
**V**: 19.5 Å³ per atom
**Space-group type**: Pmmn
**Density of states at the Fermi level**: 7.21 states/eV per cell

Lattice parameters (Å, degrees): 5.7855 8.7914 7.6622 90.00 90.00 90.00
Closest atoms and distances in Å follow each position.
Atoms (fractional coordinates):
Nd  0.2500  0.0292  0.2204  7 Pt 2.99-3.20
Nd  0.2500  0.4708  0.2204  7 Pt 2.99-3.20
Nd  0.7500  0.5292  0.7796  7 Pt 2.99-3.20
Nd  0.7500  0.9708  0.7796  7 Pt 2.99-3.20
In  0.2500  0.7500  0.8294  6 Pt 2.64-2.79
In  0.7500  0.2500  0.1706  6 Pt 2.64-2.79
B  0.2500  0.2500  0.6801  6 Pt 2.11-2.16
B  0.7500  0.7500  0.3199  6 Pt 2.11-2.16
Pt  0.0086  0.2500  0.8867  1 B 2.11
Pt  0.0123  0.7500  0.5123  1 B 2.12
Pt  0.2500  0.0082  0.6322  1 B 2.16
Pt  0.2500  0.4918  0.6322  1 B 2.16
Pt  0.4877  0.7500  0.5123  1 B 2.12
Pt  0.4914  0.2500  0.8867  1 B 2.11
Pt  0.5086  0.7500  0.1133  1 B 2.11
Pt  0.5123  0.2500  0.4877  1 B 2.12
Pt  0.7500  0.5082  0.3678  1 B 2.16
Pt  0.7500  0.9918  0.3678  1 B 2.16
Pt  0.9877  0.2500  0.4877  1 B 2.12
Pt  0.9914  0.7500  0.1133  1 B 2.11


Number 1: energy of formation 38 meV/atom. Number 2: energy of formation -393 meV/atom. Number 3: energy of formation -808 meV/atom.